CsP2H2: optimized geometry, PBE.

Geometry as POSCAR:
```
CsP2H2
1.0
5.046 -2.161 0.000
5.046 2.161 0.000
-0.383 0.000 5.213
Cs P H
1 2 2
Direct
0.000 0.000 0.000 Cs
0.288 0.288 0.572 P
0.712 0.712 0.428 P
0.386 0.386 0.390 H
0.614 0.614 0.610 H
```

Results
DOS(E_F) in states/eV per cell: 1.30
DFT total energy in eV/atom: -3.8743